1.
A PBEsol-optimized structure of Mg3NF, computed with SCAN.

Cell lengths 4.222, 4.222, 4.222 Å; angles 90.00, 90.00, 90.00 degrees
Atoms (fractional coordinates):
Mg1 0.000 0.500 0.000
Mg2 0.000 0.000 0.500
Mg3 0.500 0.000 0.000
N1 0.000 0.000 0.000
F1 0.500 0.500 0.500

## Properties
- Total magnetic moment: 0.0000 μB per atom
- Density of states at the Fermi level: 0.8 states/eV per cell
- Calculated volume: 15.054 Å³ per atom
- Final energy: -6.391 eV per atom
- ΔE_f (raw): -0.8406 eV/atom
- Space group: No. 221

=====

2.
A PBEsol-optimized structure of AlBiSe2, computed with SCAN.

Cell lengths 3.650, 3.650, 8.819 Å; angles 78.06, 78.06, 60.00 degrees
Atoms (fractional coordinates):
Bi1 0.000 0.000 0.000
Se1 0.888 0.888 0.336
Se2 0.112 0.112 0.664
Al1 0.500 0.500 0.500

## Properties
- Total magnetic moment: 0.0000 μB per atom
- Density of states at the Fermi level: 0.6 states/eV per cell
- Calculated volume: 24.700 Å³ per atom
- Final energy: -32.251 eV per atom
- ΔE_f (raw): -0.6291 eV/atom
- Space group: No. 166

=====

3.
A PBEsol-optimized structure of TcGe3Br, computed with SCAN.

Cell lengths 4.943, 4.943, 4.943 Å; angles 90.00, 90.00, 90.00 degrees
Last column: magnetic moment on the atom in μB.
Atoms (fractional coordinates):
Ge1 0.000 0.500 0.000  -0.07
Ge2 0.000 0.000 0.500  -0.07
Ge3 0.500 0.000 0.000  -0.07
Tc1 0.500 0.500 0.500  3.66
Br1 0.000 0.000 0.000  -0.03

## Properties
- Total magnetic moment: 0.7004 μB per atom
- Density of states at the Fermi level: 3.6 states/eV per cell
- Calculated volume: 24.150 Å³ per atom
- Final energy: -20.681 eV per atom
- ΔE_f (raw): 1.6757 eV/atom
- Space group: No. 221